# LaSm3Tm6Th2 | Alexandria | PBE | optimized geometry
data_LaSm3Tm6Th2
_chemical_formula_sum 'La1 Sm3 Tm6 Th2'
_cell_length_a 6.1922
_cell_length_b 6.1922
_cell_length_c 11.6381
_cell_angle_alpha 95.10
_cell_angle_beta 95.10
_cell_angle_gamma 119.98
_space_group_name_H-M_alt 'P 1'
_space_group_IT_number 1
_space_group_name_Hall 'P 1'
loop_
_atom_site_label
_atom_site_fract_x
_atom_site_fract_y
_atom_site_fract_z
Sm1 0.5000 0.5000 0.5000
Tm1 0.7441 0.7441 0.2474
Th1 0.6666 0.3334 0.0000
Sm2 0.1664 0.8336 0.5000
Th2 0.3334 0.6666 0.0000
Tm2 0.0829 0.4217 0.2472
Tm3 0.9171 0.5783 0.7528
Tm4 0.5783 0.9171 0.7528
Sm3 0.8336 0.1664 0.5000
Tm5 0.2559 0.2559 0.7526
Tm6 0.4217 0.0829 0.2472
La1 0.0000 0.0000 0.0000
# Energy, eV/cell: -60.44
# Density of states at the Fermi level, states/eV/cell: 15.068
# Magnetization, μB per formula unit: 0.00
# Density, g cm⁻³: 9.0

---

# PmTm6Se8 | Alexandria | PBE | optimized geometry
data_PmTm6Se8
_chemical_formula_sum 'Pm1 Tm6 Se8'
_cell_length_a 7.5631
_cell_length_b 7.5631
_cell_length_c 7.5631
_cell_angle_alpha 91.69
_cell_angle_beta 91.69
_cell_angle_gamma 91.69
_space_group_name_H-M_alt 'P 1'
_space_group_IT_number 1
_space_group_name_Hall 'P 1'
loop_
_atom_site_label
_atom_site_fract_x
_atom_site_fract_y
_atom_site_fract_z
Tm1 0.5656 0.1914 0.4048
Se1 0.7647 0.7647 0.7647
Tm2 0.4048 0.5656 0.1914
Se2 0.2353 0.2353 0.2353
Pm1 0.0000 0.0000 0.0000
Tm3 0.8086 0.5952 0.4344
Se3 0.8638 0.2617 0.6359
Se4 0.1362 0.7383 0.3641
Tm4 0.1914 0.4048 0.5656
Tm5 0.5952 0.4344 0.8086
Se5 0.6359 0.8638 0.2617
Se6 0.3641 0.1362 0.7383
Se7 0.7383 0.3641 0.1362
Tm6 0.4344 0.8086 0.5952
Se8 0.2617 0.6359 0.8638
# Energy, eV/cell: -81.32
# E_form (uncorrected), eV per formula unit: -21.9
# Density of states at the Fermi level, states/eV/cell: 11.690
# Magnetization, μB per formula unit: 0.12
# Density, g cm⁻³: 6.9
# Energy above the lowest structure with this stoichiometry, meV per atom: 314

---

# BaRuRh | Alexandria | PBE | optimized geometry
data_BaRuRh
_chemical_formula_sum 'Ba1 Ru1 Rh1'
_cell_length_a 4.7535
_cell_length_b 4.7535
_cell_length_c 4.7535
_cell_angle_alpha 60.00
_cell_angle_beta 60.00
_cell_angle_gamma 60.00
_space_group_name_H-M_alt 'P 1'
_space_group_IT_number 1
_space_group_name_Hall 'P 1'
loop_
_atom_site_label
_atom_site_fract_x
_atom_site_fract_y
_atom_site_fract_z
Rh1 0.2500 0.2500 0.2500
Ru1 0.0000 0.0000 0.0000
Ba1 0.5000 0.5000 0.5000
# Energy, eV/cell: -15.93
# Density of states at the Fermi level, states/eV/cell: 2.869
# Magnetization, μB per formula unit: 2.53
# Density, g cm⁻³: 7.5
# Energy above the lowest structure with this stoichiometry, meV per atom: 576

---

# Ca2PtPb | Alexandria | PBE | optimized geometry
data_Ca2PtPb
_chemical_formula_sum 'Ca2 Pt1 Pb1'
_cell_length_a 8.2364
_cell_length_b 5.1470
_cell_length_c 3.7897
_cell_angle_alpha 90.05
_cell_angle_beta 62.51
_cell_angle_gamma 129.02
_space_group_name_H-M_alt 'P 1'
_space_group_IT_number 1
_space_group_name_Hall 'P 1'
loop_
_atom_site_label
_atom_site_fract_x
_atom_site_fract_y
_atom_site_fract_z
Pt1 0.5000 0.5000 0.0000
Pb1 0.0000 0.5000 0.5000
Ca1 0.0000 0.0000 0.0000
Ca2 0.5000 0.0000 0.5000
# Energy, eV/cell: -16.16
# Density of states at the Fermi level, states/eV/cell: 1.877
# Magnetization, μB per formula unit: 0.00
# Density, g cm⁻³: 8.0
# Energy above the lowest structure with this stoichiometry, meV per atom: 118

---

# TlGa4Rh5 | Alexandria | PBE | optimized geometry
data_TlGa4Rh5
_chemical_formula_sum 'Tl1 Ga4 Rh5'
_cell_length_a 3.0310
_cell_length_b 3.0310
_cell_length_c 16.2102
_cell_angle_alpha 90.00
_cell_angle_beta 90.00
_cell_angle_gamma 90.00
_space_group_name_H-M_alt 'P 1'
_space_group_IT_number 1
_space_group_name_Hall 'P 1'
loop_
_atom_site_label
_atom_site_fract_x
_atom_site_fract_y
_atom_site_fract_z
Ga1 0.0000 0.0000 0.2148
Ga2 0.0000 0.0000 0.5949
Tl1 0.0000 0.0000 0.0000
Ga3 0.0000 0.0000 0.7852
Rh1 0.5000 0.5000 0.8728
Rh2 0.5000 0.5000 0.3139
Rh3 0.5000 0.5000 0.6861
Ga4 0.0000 0.0000 0.4051
Rh4 0.5000 0.5000 0.1272
Rh5 0.5000 0.5000 0.5000
# Energy, eV/cell: -56.67
# Density of states at the Fermi level, states/eV/cell: 2.749
# Magnetization, μB per formula unit: 0.00
# Density, g cm⁻³: 11.1

---

# Mg11In9Hg4 | Alexandria | PBE | optimized geometry
data_Mg11In9Hg4
_chemical_formula_sum 'Mg11 In9 Hg4'
_cell_length_a 3.5593
_cell_length_b 13.0013
_cell_length_c 13.0013
_cell_angle_alpha 111.45
_cell_angle_beta 90.00
_cell_angle_gamma 90.00
_space_group_name_H-M_alt 'P 1'
_space_group_IT_number 1
_space_group_name_Hall 'P 1'
loop_
_atom_site_label
_atom_site_fract_x
_atom_site_fract_y
_atom_site_fract_z
Mg1 0.0000 0.0586 0.4117
Mg2 0.0000 0.8438 0.1562
In1 0.5000 0.8518 0.3633
Hg1 0.5000 0.7520 0.5506
Mg3 0.0000 0.9414 0.5883
Hg2 0.5000 0.4494 0.2480
In2 0.5000 0.1482 0.6367
In3 0.5000 0.0586 0.2096
In4 0.5000 0.2096 0.0586
In5 0.5000 0.5000 0.5000
Mg4 0.0000 0.2885 0.2885
Mg5 0.0000 0.5883 0.9414
Mg6 0.0000 0.1562 0.8438
Hg3 0.5000 0.2480 0.4494
Mg7 0.0000 0.6369 0.3631
Mg8 0.0000 0.3631 0.6369
In6 0.5000 0.7904 0.9414
Mg9 0.0000 0.0000 0.0000
In7 0.5000 0.6367 0.1482
In8 0.5000 0.9414 0.7904
In9 0.5000 0.3633 0.8518
Hg4 0.5000 0.5506 0.7520
Mg10 0.0000 0.7115 0.7115
Mg11 0.0000 0.4117 0.0586
# Energy, eV/cell: -45.97
# Density of states at the Fermi level, states/eV/cell: 8.372
# Magnetization, μB per formula unit: 0.00
# Density, g cm⁻³: 6.2

---

# SrLaMg2 | Alexandria | PBE | optimized geometry
data_SrLaMg2
_chemical_formula_sum 'Sr1 La1 Mg2'
_cell_length_a 11.4986
_cell_length_b 11.4986
_cell_length_c 11.4986
_cell_angle_alpha 18.88
_cell_angle_beta 18.88
_cell_angle_gamma 18.88
_space_group_name_H-M_alt 'P 1'
_space_group_IT_number 1
_space_group_name_Hall 'P 1'
loop_
_atom_site_label
_atom_site_fract_x
_atom_site_fract_y
_atom_site_fract_z
Mg1 0.4981 0.4981 0.4981
Sr1 0.2500 0.2500 0.2500
Mg2 0.0019 0.0019 0.0019
La1 0.7500 0.7500 0.7500
# Energy, eV/cell: -9.39
# Density of states at the Fermi level, states/eV/cell: 4.027
# Magnetization, μB per formula unit: 0.00
# Density, g cm⁻³: 3.3

---

# Tl2SiW | Alexandria | PBE | optimized geometry
data_Tl2SiW
_chemical_formula_sum 'Tl2 Si1 W1'
_cell_length_a 8.1584
_cell_length_b 8.1584
_cell_length_c 4.0961
_cell_angle_alpha 75.45
_cell_angle_beta 75.45
_cell_angle_gamma 20.99
_space_group_name_H-M_alt 'P 1'
_space_group_IT_number 1
_space_group_name_Hall 'P 1'
loop_
_atom_site_label
_atom_site_fract_x
_atom_site_fract_y
_atom_site_fract_z
W1 0.7500 0.7500 0.7500
Tl1 0.4254 0.4254 0.5744
Tl2 0.0746 0.0746 0.9256
Si1 0.2500 0.2500 0.2500
# Energy, eV/cell: -21.27
# E_form (uncorrected), eV per formula unit: 1.8
# Density of states at the Fermi level, states/eV/cell: 1.722
# Magnetization, μB per formula unit: 0.00
# Density, g cm⁻³: 10.9
# Energy above the lowest structure with this stoichiometry, meV per atom: 0

---

# SrEuDyNbO6 | Alexandria | PBE | optimized geometry
data_SrEuDyNbO6
_chemical_formula_sum 'Sr1 Eu1 Dy1 Nb1 O6'
_cell_length_a 5.9626
_cell_length_b 5.9626
_cell_length_c 5.9626
_cell_angle_alpha 60.00
_cell_angle_beta 60.00
_cell_angle_gamma 60.00
_space_group_name_H-M_alt 'P 1'
_space_group_IT_number 1
_space_group_name_Hall 'P 1'
loop_
_atom_site_label
_atom_site_fract_x
_atom_site_fract_y
_atom_site_fract_z
Nb1 0.5000 0.5000 0.5000
Sr1 0.7500 0.7500 0.7500
O1 0.2619 0.7381 0.7381
O2 0.7381 0.7381 0.2619
O3 0.2619 0.7381 0.2619
Eu1 0.2500 0.2500 0.2500
O4 0.7381 0.2619 0.2619
O5 0.7381 0.2619 0.7381
Dy1 0.0000 0.0000 0.0000
O6 0.2619 0.2619 0.7381
# Energy, eV/cell: -86.02
# E_form (uncorrected), eV per formula unit: -29.6
# Density of states at the Fermi level, states/eV/cell: 5.885
# Magnetization, μB per formula unit: 7.01
# Density, g cm⁻³: 6.5

---

# AgGeTe3Au | Alexandria | PBE | optimized geometry
data_AgGeTe3Au
_chemical_formula_sum 'Ag2 Ge2 Te6 Au2'
_cell_length_a 3.8754
_cell_length_b 8.1922
_cell_length_c 9.8313
_cell_angle_alpha 90.00
_cell_angle_beta 90.00
_cell_angle_gamma 103.68
_space_group_name_H-M_alt 'P 1'
_space_group_IT_number 1
_space_group_name_Hall 'P 1'
loop_
_atom_site_label
_atom_site_fract_x
_atom_site_fract_y
_atom_site_fract_z
Te1 0.1007 0.2015 0.7500
Ag1 0.0000 0.0000 0.0000
Au1 0.4743 0.9487 0.7500
Te2 0.8993 0.7985 0.2500
Te3 0.6570 0.3140 0.0610
Ge1 0.2321 0.4642 0.2500
Te4 0.6570 0.3140 0.4390
Ag2 0.0000 0.0000 0.5000
Ge2 0.7679 0.5358 0.7500
Te5 0.3430 0.6860 0.5610
Te6 0.3430 0.6860 0.9390
Au2 0.5257 0.0513 0.2500
# Energy, eV/cell: -39.43
# E_form (uncorrected), eV per formula unit: 0.5
# Density of states at the Fermi level, states/eV/cell: 5.671
# Magnetization, μB per formula unit: 0.00
# Density, g cm⁻³: 8.3

---

# Ba2ScSb | Alexandria | PBE | optimized geometry
data_Ba2ScSb
_chemical_formula_sum 'Ba2 Sc1 Sb1'
_cell_length_a 4.0572
_cell_length_b 4.0572
_cell_length_c 9.8072
_cell_angle_alpha 90.00
_cell_angle_beta 90.00
_cell_angle_gamma 90.00
_space_group_name_H-M_alt 'P 1'
_space_group_IT_number 1
_space_group_name_Hall 'P 1'
loop_
_atom_site_label
_atom_site_fract_x
_atom_site_fract_y
_atom_site_fract_z
Sc1 0.5000 0.5000 0.6678
Ba1 0.5000 0.5000 0.3209
Sb1 0.0000 0.0000 0.5707
Ba2 0.0000 0.0000 0.9406
# Energy, eV/cell: -15.85
# E_form (uncorrected), eV per formula unit: -1.6
# Density of states at the Fermi level, states/eV/cell: 3.993
# Magnetization, μB per formula unit: 1.22
# Density, g cm⁻³: 4.5

---

# Ce4Pu3Os4 | Alexandria | PBE | optimized geometry
data_Ce4Pu3Os4
_chemical_formula_sum 'Ce4 Pu3 Os4'
_cell_length_a 4.0760
_cell_length_b 7.8872
_cell_length_c 9.1498
_cell_angle_alpha 115.53
_cell_angle_beta 102.87
_cell_angle_gamma 90.00
_space_group_name_H-M_alt 'P 1'
_space_group_IT_number 1
_space_group_name_Hall 'P 1'
loop_
_atom_site_label
_atom_site_fract_x
_atom_site_fract_y
_atom_site_fract_z
Os1 0.2187 0.7187 0.4374
Ce1 0.3357 0.5522 0.6714
Os2 0.5000 0.2067 0.0000
Ce2 0.6643 0.8808 0.3286
Os3 0.5000 0.7933 0.0000
Os4 0.7813 0.2813 0.5626
Pu1 0.9086 0.9086 0.8171
Ce3 0.6643 0.4478 0.3286
Ce4 0.3357 0.1192 0.6714
Pu2 0.0914 0.0914 0.1829
Pu3 0.0000 0.5000 0.0000
# Energy, eV/cell: -111.78
# Density of states at the Fermi level, states/eV/cell: 24.685
# Magnetization, μB per formula unit: 17.79
# Density, g cm⁻³: 13.3

---

What is the formula in the first record? LaSm3Tm6Th2

---

Which value of magnetization does entry 8 give? 0.00 μB per formula unit

---

What is the magnetization in the eighth record? 0.00 μB per formula unit